Entry 1:
## Ce3Dy2ThAs6 (PBE)

Data for crystalline Ce3Dy2ThAs6 at its relaxed geometry.

As for the density: 7.56 g cm⁻³. For the total magnetization, the calculation gives 2.20 μB per formula unit. Its total energy is -159.83 eV/cell. As for the density of states at the Fermi level: 35.68 states/eV per cell.

The space group is C2/m (No. 12) and the conventional cell measures 7.2597, 12.5782 and 7.2795 Å, with angles of 90.00, 109.44 and 90.00 degrees. The asymmetric unit holds Ce at (0.0000, 0.0000, 0.0000), Ce at (0.0000, 0.3341, 0.0000), Dy at (0.0000, 0.1669, 0.5000), Th at (0.0000, 0.5000, 0.5000), As at (0.2449, 0.0000, 0.7462) and As at (0.2489, 0.1685, 0.2525).

Entry 2:
## Ce2Dy3ThAs6 (PBE)

Data for crystalline Ce2Dy3ThAs6 at its relaxed geometry.

As for the density: 7.78 g cm⁻³. For the total magnetization, the calculation gives 1.49 μB per formula unit. Its total energy is -157.61 eV/cell. As for the density of states at the Fermi level: 26.10 states/eV per cell.

The space group is C2/m (No. 12) and the conventional cell measures 18.1909, 4.1816 and 8.3440 Å, with angles of 90.00, 103.05 and 90.00 degrees. The asymmetric unit holds Ce at (0.1674, 0.0000, 0.3345), Dy at (0.0000, 0.5000, 0.5000), Dy at (0.1669, 0.0000, 0.8329), Th at (0.0000, 0.5000, 0.0000), As at (0.0010, 0.0000, 0.7456), As at (0.1653, 0.5000, 0.5861) and As at (0.1681, 0.5000, 0.0806).

Entry 3:
## Ce4DyTh3As8 (PBE)

Data for crystalline Ce4DyTh3As8 at its relaxed geometry.

As for the density: 7.85 g cm⁻³. For the total magnetization, the calculation gives 3.11 μB per formula unit. Its total energy is -332.58 eV/cell. As for the density of states at the Fermi level: 73.94 states/eV per cell.

The space group is R-3m (No. 166, hexagonal axes) and the conventional cell measures 8.4436, 8.4436 and 20.7403 Å, with angles of 90.00, 90.00 and 120.00 degrees. The asymmetric unit holds Ce at (0.0000, 0.0000, 0.0000), Ce at (0.0000, 0.5000, 0.0000), Dy at (0.0000, 0.0000, 0.5000), Th at (0.0000, 0.5000, 0.5000), As at (0.0000, 0.0000, 0.2508) and As at (0.0038, 0.5019, 0.2497).

Entry 4:
## Ce2Dy3TmAs6 (PBE)

Data for crystalline Ce2Dy3TmAs6 at its relaxed geometry.

As for the density: 7.64 g cm⁻³. For the total magnetization, the calculation gives 1.22 μB per formula unit. Its total energy is -151.92 eV/cell. As for the density of states at the Fermi level: 22.97 states/eV per cell.

The space group is C2/m (No. 12) and the conventional cell measures 18.0370, 4.1453 and 8.2829 Å, with angles of 90.00, 103.25 and 90.00 degrees. The asymmetric unit holds Ce at (0.1654, 0.0000, 0.3311), Dy at (0.0000, 0.5000, 0.5000), Dy at (0.1667, 0.0000, 0.8344), Tm at (0.0000, 0.5000, 0.0000), As at (0.0011, 0.0000, 0.7530), As at (0.1655, 0.5000, 0.0798) and As at (0.1659, 0.5000, 0.5856).

Entry 5:
## CeDy2Tm3As6 (PBE)

Data for crystalline CeDy2Tm3As6 at its relaxed geometry.

As for the density: 8.03 g cm⁻³. For the total magnetization, the calculation gives 0.51 μB per formula unit. Its total energy is -148.97 eV/cell. As for the density of states at the Fermi level: 11.64 states/eV per cell.

The space group is C2/m (No. 12) and the conventional cell measures 17.8768, 4.1113 and 8.2117 Å, with angles of 90.00, 103.22 and 90.00 degrees. The asymmetric unit holds Ce at (0.0000, 0.0000, 0.0000), Dy at (0.1679, 0.5000, 0.3358), Tm at (0.0000, 0.0000, 0.5000), Tm at (0.1672, 0.5000, 0.8318), As at (0.0005, 0.5000, 0.7454), As at (0.1657, 0.0000, 0.5853) and As at (0.1680, 0.0000, 0.0814).

Entry 6:
## CeDy2TmAs4 (PBE)

Data for crystalline CeDy2TmAs4 at its relaxed geometry.

As for the density: 7.80 g cm⁻³. For the total magnetization, the calculation gives 0.54 μB per formula unit. Its total energy is -50.20 eV/cell. As for the density of states at the Fermi level: 6.16 states/eV per cell.

The space group is P2/m (No. 10) and the conventional cell measures 7.1414, 4.1297 and 7.1492 Å, with angles of 90.00, 109.42 and 90.00 degrees. The asymmetric unit holds Ce at (0.0000, 0.0000, 0.0000), Dy at (0.0000, 0.5000, 0.5000), Dy at (0.5000, 0.0000, 0.5000), Tm at (0.5000, 0.5000, 0.0000), As at (0.2531, 0.0000, 0.7517) and As at (0.2538, 0.5000, 0.2514).

Entry 7:
## Ce3DyTm2As6 (PBE)

Data for crystalline Ce3DyTm2As6 at its relaxed geometry.

As for the density: 7.51 g cm⁻³. For the total magnetization, the calculation gives 1.95 μB per formula unit. Its total energy is -153.72 eV/cell. As for the density of states at the Fermi level: 33.19 states/eV per cell.

The space group is C2/m (No. 12) and the conventional cell measures 7.1937, 12.4595 and 7.1742 Å, with angles of 90.00, 109.54 and 90.00 degrees. The asymmetric unit holds Ce at (0.0000, 0.0000, 0.0000), Ce at (0.0000, 0.3338, 0.0000), Dy at (0.0000, 0.5000, 0.5000), Tm at (0.0000, 0.1668, 0.5000), As at (0.2455, 0.0000, 0.7426) and As at (0.2487, 0.3324, 0.7432).

Entry 8:
## Ce2DyUAs4 (PBE)

Data for crystalline Ce2DyUAs4 at its relaxed geometry.

As for the density: 8.00 g cm⁻³. For the total magnetization, the calculation gives 3.95 μB per formula unit. Its total energy is -56.55 eV/cell. As for the density of states at the Fermi level: 16.81 states/eV per cell.

The space group is P2/m (No. 10) and the conventional cell measures 7.1942, 4.1459 and 7.2249 Å, with angles of 90.00, 109.27 and 90.00 degrees. The asymmetric unit holds Ce at (0.0000, 0.0000, 0.0000), Ce at (0.0000, 0.5000, 0.5000), Dy at (0.5000, 0.0000, 0.5000), U at (0.5000, 0.5000, 0.0000), As at (0.2572, 0.5000, 0.2499) and As at (0.2586, 0.0000, 0.7540).

Entry 9:
## CeDyU2As4 (PBE)

Data for crystalline CeDyU2As4 at its relaxed geometry.

As for the density: 8.99 g cm⁻³. For the total magnetization, the calculation gives 5.74 μB per formula unit. Its total energy is -60.51 eV/cell. As for the density of states at the Fermi level: 13.68 states/eV per cell.

The space group is P2/m (No. 10) and the conventional cell measures 7.0966, 4.0958 and 7.2460 Å, with angles of 90.00, 109.05 and 90.00 degrees. The asymmetric unit holds Ce at (0.0000, 0.0000, 0.0000), Dy at (0.5000, 0.5000, 0.0000), U at (0.0000, 0.5000, 0.5000), U at (0.5000, 0.0000, 0.5000), As at (0.2516, 0.0000, 0.7460) and As at (0.2552, 0.5000, 0.2558).

Entry 10:
## CeDy3Y2As6 (PBE)

Data for crystalline CeDy3Y2As6 at its relaxed geometry.

As for the density: 6.94 g cm⁻³. For the total magnetization, the calculation gives 0.51 μB per formula unit. Its total energy is -157.80 eV/cell. As for the density of states at the Fermi level: 11.93 states/eV per cell.

The space group is C2/m (No. 12) and the conventional cell measures 18.0112, 4.1402 and 8.2744 Å, with angles of 90.00, 103.29 and 90.00 degrees. The asymmetric unit holds Ce at (0.0000, 0.0000, 0.0000), Dy at (0.0000, 0.0000, 0.5000), Dy at (0.1673, 0.5000, 0.8317), Y at (0.1679, 0.5000, 0.3356), As at (0.0000, 0.5000, 0.2522), As at (0.1664, 0.0000, 0.5836) and As at (0.1671, 0.0000, 0.0829).

Entry 11:
## CeDy2Y3As6 (PBE)

Data for crystalline CeDy2Y3As6 at its relaxed geometry.

As for the density: 6.53 g cm⁻³. For the total magnetization, the calculation gives 0.50 μB per formula unit. Its total energy is -161.65 eV/cell. As for the density of states at the Fermi level: 11.04 states/eV per cell.

The space group is C2/m (No. 12) and the conventional cell measures 7.1660, 12.4100 and 7.1671 Å, with angles of 90.00, 109.47 and 90.00 degrees. The asymmetric unit holds Ce at (0.0000, 0.0000, 0.0000), Dy at (0.0000, 0.3334, 0.0000), Y at (0.0000, 0.1663, 0.5000), Y at (0.0000, 0.5000, 0.5000), As at (0.2494, 0.3329, 0.7494) and As at (0.2489, 0.5000, 0.2495).

Entry 12:
## Ce3Dy2YAs6 (PBE)

Data for crystalline Ce3Dy2YAs6 at its relaxed geometry.

As for the density: 6.94 g cm⁻³. For the total magnetization, the calculation gives 1.94 μB per formula unit. Its total energy is -158.40 eV/cell. As for the density of states at the Fermi level: 33.15 states/eV per cell.

The space group is C2/m (No. 12) and the conventional cell measures 7.2254, 12.5144 and 7.2107 Å, with angles of 90.00, 109.52 and 90.00 degrees. The asymmetric unit holds Ce at (0.0000, 0.0000, 0.0000), Ce at (0.0000, 0.3334, 0.0000), Dy at (0.0000, 0.1667, 0.5000), Y at (0.0000, 0.5000, 0.5000), As at (0.2482, 0.0000, 0.7459) and As at (0.2488, 0.3331, 0.7459).